Pr2CuS2O2 after structural relaxation. Source: Alexandria via LeMat-Bulk, functional GGA-PBE.

Cell lengths 4.0249, 4.0249, 10.9910 Å; angles 90.00, 90.00, 120.00 degrees
Element x y z (fractional)
O1 0.3333 0.6667 0.4186
O2 0.6667 0.3333 0.5814
S1 0.0000 0.0000 0.8098
Cu1 0.0000 0.0000 0.0000
Pr1 0.3333 0.6667 0.6386
S2 0.0000 0.0000 0.1902
Pr2 0.6667 0.3333 0.3614

Properties
magnetic moment: 0.0 μB per formula unit
raw formation energy: -2015 meV per atom
energy: -45.935 eV for the cell shown
space group: No. 164



PrCu2SeO2 after structural relaxation. Source: Alexandria via LeMat-Bulk, functional GGA-PBE.

Cell lengths 5.6316, 6.6933, 6.7215 Å; angles 127.16, 90.00, 90.00 degrees
Element x y z (fractional)
O1 0.0000 0.2353 0.2334
O2 0.0000 0.7647 0.7666
Pr1 0.7500 0.8914 0.1101
O3 0.5000 0.2353 0.2334
Pr2 0.2500 0.1086 0.8899
O4 0.5000 0.7647 0.7666
Cu1 0.7500 0.3916 0.1719
Cu2 0.7500 0.8255 0.6100
Se1 0.7500 0.2534 0.7446
Cu3 0.2500 0.6084 0.8281
Se2 0.2500 0.7466 0.2554
Cu4 0.2500 0.1745 0.3900

Properties
magnetic moment: 0.0 μB per formula unit
raw formation energy: -1190 meV per atom
energy: -67.020 eV for the cell shown
space group: No. 11



PrCuSe2O8 after structural relaxation. Source: Alexandria via LeMat-Bulk, functional GGA-PBE.

Cell lengths 5.5091, 5.5091, 6.9045 Å; angles 90.00, 90.00, 120.00 degrees
Element x y z (fractional)
O1 0.1632 0.8368 0.7874
O2 0.8368 0.1632 0.2126
O3 0.1632 0.3265 0.7874
Pr1 0.0000 0.0000 0.5000
O4 0.6735 0.8368 0.7874
O5 0.3333 0.6667 0.4709
O6 0.6667 0.3333 0.5291
O7 0.3265 0.1632 0.2126
O8 0.8368 0.6735 0.2126
Se1 0.6667 0.3333 0.2846
Cu1 0.0000 0.0000 0.0000
Se2 0.3333 0.6667 0.7154

Properties
magnetic moment: 0.1 μB per formula unit
raw formation energy: -1158 meV per atom
energy: -69.401 eV for the cell shown
space group: No. 164